Record 1
Below is a relaxed structure of KIn2Te, with properties calculated at the PBE-GGA level.

Cell: 4.1982 4.1982 7.5165 Å, 90.00 90.00 90.00°
Last column: nearest neighbours and their distance in Å.
Sites, in units of the cell vectors:
In (0.0000, 0.0000, 0.0016)  4 In 3.30, 4 Te 3.36, 1 K 3.67
In (0.5000, 0.5000, 0.1927)  1 Te 3.01, 4 In 3.30
K (0.0000, 0.0000, 0.5128)  4 Te 3.64, 6 In 3.67-3.84
Te (0.5000, 0.5000, 0.7928)  5 In 3.01-3.36

Output
N(E_F): 0.43 states/eV per cell
ΔE_f (raw): -0.3454 eV/atom
SG: P4mm, No. 99
crystal system: tetragonal


Record 2
Below is a relaxed structure of Ba4S3I, with properties calculated at the PBE-GGA level.

Cell: 4.6023 4.6023 31.3438 Å, 90.00 90.00 120.00°
Last column: nearest neighbours and their distance in Å.
Sites, in units of the cell vectors:
I (0.6667, 0.3333, 0.7500)  6 Ba 3.65
I (0.3333, 0.6667, 0.2500)  6 Ba 3.65
S (0.0000, 0.0000, 0.0000)  6 Ba 3.20
S (0.0000, 0.0000, 0.5000)  6 Ba 3.20
S (0.3333, 0.6667, 0.8807)  6 Ba 3.10-3.30
S (0.6667, 0.3333, 0.1193)  6 Ba 3.10-3.30
S (0.6667, 0.3333, 0.3807)  6 Ba 3.10-3.30
S (0.3333, 0.6667, 0.6193)  6 Ba 3.10-3.30
Ba (0.6667, 0.3333, 0.9429)  6 S 3.20-3.30
Ba (0.3333, 0.6667, 0.0571)  6 S 3.20-3.30
Ba (0.3333, 0.6667, 0.4429)  6 S 3.20-3.30
Ba (0.6667, 0.3333, 0.5571)  6 S 3.20-3.30
Ba (0.0000, 0.0000, 0.8298)  3 S 3.10
Ba (0.0000, 0.0000, 0.1702)  3 S 3.10
Ba (0.0000, 0.0000, 0.3298)  3 S 3.10
Ba (0.0000, 0.0000, 0.6702)  3 S 3.10

Output
N(E_F): 5.69 states/eV per cell
ΔE_f (raw): -1.8961 eV/atom
SG: P6_3/mmc, No. 194
crystal system: hexagonal


Record 3
Below is a relaxed structure of RbTl2As, with properties calculated at the PBE-GGA level.

Cell: 4.6475 4.6475 8.2588 Å, 73.66 73.66 60.00°
Last column: nearest neighbours and their distance in Å.
Sites, in units of the cell vectors:
Tl (0.2754, 0.2754, 0.1738)  3 As 3.01
Tl (0.7246, 0.7246, 0.8262)  3 As 3.01
As (0.0000, 0.0000, 0.0000)  6 Tl 3.01
Rb (0.5000, 0.5000, 0.5000)  6 Tl 3.70

Output
N(E_F): 0.79 states/eV per cell
formation energy: -140 meV/atom
SG: R-3m, No. 166
crystal system: trigonal


Record 4
Below is a relaxed structure of Zr2SnPd, with properties calculated at the PBE-GGA level.

Cell: 4.3742 4.2928 4.2928 Å, 90.00 90.00 90.00°
Last column: nearest neighbours and their distance in Å.
Sites, in units of the cell vectors:
Zr (0.0000, 0.0000, 0.5000)  4 Zr 3.04, 4 Sn 3.06, 4 Pd 3.06
Zr (0.0000, 0.5000, 0.0000)  4 Zr 3.04, 4 Pd 3.06, 4 Sn 3.06
Sn (0.5000, 0.0000, 0.0000)  4 Pd 3.04, 8 Zr 3.06
Pd (0.5000, 0.5000, 0.5000)  4 Sn 3.04, 8 Zr 3.06

Output
N(E_F): 3.22 states/eV per cell
formation energy: -546 meV/atom
SG: P4/mmm, No. 123
crystal system: tetragonal